Record 1
Material: YGa2SeO
Method: DFT, PBE
State: optimized geometry

Computed properties:
As for the total energy: -3.633 eV per atom. The value obtained for the magnetization is 0.1 μB/f.u.

abc: 5.915 5.915 5.202
angles: 90.00 90.00 90.00
Element x y z (fractional)
Y1 0.000 0.000 0.000
Ga1 0.000 0.500 0.000
Ga2 0.500 0.000 0.000
Se1 0.000 0.000 0.500
O1 0.500 0.500 0.500

Record 2
Material: ZnGa2SeO6
Method: DFT, PBE
State: optimized geometry

Computed properties:
As for the total energy: -5.405 eV per atom. The value obtained for the magnetization is 0.0 μB/f.u.

abc: 6.725 6.725 5.570
angles: 99.84 99.84 82.65
Element x y z (fractional)
Zn1 0.099 0.901 0.750
Zn2 0.901 0.099 0.250
Ga1 0.210 0.398 0.755
Ga2 0.398 0.210 0.255
Ga3 0.602 0.790 0.745
Ga4 0.790 0.602 0.245
Se1 0.254 0.746 0.250
Se2 0.746 0.254 0.750
O1 0.004 0.791 0.348
O2 0.116 0.652 0.910
O3 0.209 0.996 0.152
O4 0.273 0.416 0.454
O5 0.348 0.884 0.590
O6 0.416 0.273 0.954
O7 0.584 0.727 0.046
O8 0.652 0.116 0.410
O9 0.727 0.584 0.546
O10 0.791 0.004 0.848
O11 0.884 0.348 0.090
O12 0.996 0.209 0.652

Record 3
Material: Ga4SiO8
Method: DFT, PBE
State: optimized geometry

Computed properties:
As for the total energy: -6.402 eV per atom. The value obtained for the magnetization is 0.0 μB/f.u.

abc: 6.418 6.418 9.424
angles: 125.17 125.17 26.85
Element x y z (fractional)
Ga1 0.039 0.039 0.222
Ga2 0.257 0.257 0.856
Ga3 0.743 0.743 0.144
Ga4 0.961 0.961 0.778
Si1 0.500 0.500 0.500
O1 0.054 0.054 0.431
O2 0.146 0.146 0.964
O3 0.347 0.347 0.294
O4 0.385 0.385 0.795
O5 0.615 0.615 0.205
O6 0.653 0.653 0.706
O7 0.854 0.854 0.036
O8 0.946 0.946 0.569